Record 1
Below is crystalline SrAlCl at its relaxed geometry, with properties calculated at the GGA-PBEsol level.

Structure (extended XYZ):
```
3
Lattice="-0.281 -1.107 -3.335 3.230 -1.398 0.191 -4.541 -5.491 4.068" Properties=species:S:1:pos:R:3 pbc="T T T"
Sr -1.938 -4.262 1.578
Al -1.382 -7.533 0.753
Cl 0.136 -4.196 -0.482
```

## Properties
The calculation puts the formation energy (no corrections) at -0.67 eV per atom. Its raw total energy is -3.31 eV per atom. Its space group is I4mm (107). For the total magnetic moment, the calculation gives 0.0 μB/f.u.



Record 2
Below is crystalline Sr2AlCl at its relaxed geometry, with properties calculated at the GGA-PBEsol level.

Structure (extended XYZ):
```
4
Lattice="3.754 0.000 0.000 0.000 4.036 0.051 0.000 -0.122 8.532" Properties=species:S:1:pos:R:3 pbc="T T T"
Sr 0.000 1.932 6.239
Sr 0.000 1.982 2.344
Al 1.877 -0.061 4.266
Cl 1.877 2.018 0.025
```

## Properties
The calculation puts the formation energy (no corrections) at -0.92 eV per atom. For the energy relative to the lowest polymorph listed for this composition, the calculation gives 0.000 eV/atom. Its raw total energy is -3.36 eV per atom. Its space group is P2/m (10). For the total magnetic moment, the calculation gives 0.0 μB/f.u.



Record 3
Below is crystalline SrAl3Cl at its relaxed geometry, with properties calculated at the GGA-PBEsol level.

Structure (extended XYZ):
```
5
Lattice="6.044 0.000 0.000 0.000 6.044 0.000 0.000 0.000 6.044" Properties=species:S:1:pos:R:3 pbc="T T T"
Sr 0.000 0.000 0.000
Al 0.000 3.022 0.000
Al 0.000 0.000 3.022
Al 3.022 0.000 0.000
Cl 3.022 3.022 3.022
```

## Properties
The calculation puts the formation energy (no corrections) at 1.25 eV per atom. Its raw total energy is -1.97 eV per atom. Its space group is Pm-3m (221). For the total magnetic moment, the calculation gives 1.0 μB/f.u.



Record 4
Below is crystalline SrAl2Cl8 at its relaxed geometry, with properties calculated at the GGA-PBEsol level.

Structure (extended XYZ):
```
22
Lattice="6.925 0.000 0.000 0.000 7.535 -0.038 0.000 -1.109 12.362" Properties=species:S:1:pos:R:3 pbc="T T T"
Sr 5.902 3.490 3.071
Sr 1.023 2.936 9.252
Al 5.068 4.114 11.423
Al 1.857 4.669 5.242
Al 1.857 2.312 0.901
Al 5.068 1.758 7.082
Cl 3.163 4.613 10.560
Cl 4.880 5.566 1.178
Cl 1.295 2.639 4.816
Cl 5.630 3.787 7.507
Cl 3.762 1.814 1.764
Cl 4.880 1.415 4.965
Cl 2.045 0.860 11.146
Cl 3.762 5.167 4.379
Cl 5.630 2.085 10.997
Cl 3.163 1.259 7.945
Cl 1.295 4.342 1.326
Cl 0.280 5.867 4.403
Cl 2.045 5.012 7.359
Cl 6.645 0.559 7.921
Cl 0.280 1.114 1.740
Cl 6.645 5.313 10.584
```

## Properties
The calculation puts the formation energy (no corrections) at -1.79 eV per atom. For the energy relative to the lowest polymorph listed for this composition, the calculation gives 0.003 eV/atom. Its raw total energy is -4.16 eV per atom. Its space group is P2/c (13). For the total magnetic moment, the calculation gives 0.1 μB/f.u.



Record 5
Below is crystalline SrAl2Cl at its relaxed geometry, with properties calculated at the GGA-PBEsol level.

Structure (extended XYZ):
```
4
Lattice="-2.188 -0.175 -2.888 0.171 -4.298 0.130 -4.126 0.480 5.376" Properties=species:S:1:pos:R:3 pbc="T T T"
Sr -1.094 -0.087 -1.444
Al -2.493 -0.831 1.940
Al -3.650 -3.162 0.679
Cl 0.086 -2.149 0.065
```

## Properties
The calculation puts the formation energy (no corrections) at -0.56 eV per atom. For the energy relative to the lowest polymorph listed for this composition, the calculation gives 0.000 eV/atom. Its raw total energy is -3.57 eV per atom. Its space group is C2/m (12). For the total magnetic moment, the calculation gives 0.0 μB/f.u.



Record 6
Below is crystalline SrAlCl3 at its relaxed geometry, with properties calculated at the GGA-PBEsol level.

Structure (extended XYZ):
```
5
Lattice="-4.989 -1.174 0.215 0.852 -2.855 4.176 -0.836 4.097 2.971" Properties=species:S:1:pos:R:3 pbc="T T T"
Sr -2.487 0.034 3.681
Al 0.000 0.000 0.000
Cl 0.426 -1.427 2.088
Cl -0.418 2.049 1.486
Cl -2.495 -0.587 0.107
```

## Properties
The calculation puts the formation energy (no corrections) at -1.17 eV per atom. For the energy relative to the lowest polymorph listed for this composition, the calculation gives 0.173 eV/atom. Its raw total energy is -3.56 eV per atom. Its space group is Pm-3m (221). For the total magnetic moment, the calculation gives 0.0 μB/f.u.



The evaluated Fermi-level density of states for the records listed, in turn: 0.48, 0.53, 1.61, 0.00, 0.47, 0.33 states/eV per atom.